Ba4AsPI2 | the Alexandria database | GGA-PBE | optimized geometry; SG = P2/m, No. 10; E_form (uncorrected) = -139.9 kJ/mol of atoms
1.0
4.809 0.000 0.000
0.000 8.352 0.151
0.000 -2.925 8.364
P Ba I As
1 4 2 1
direct
0.500 0.500 0.000
0.000 0.729 0.200
0.500 0.239 0.202
0.500 0.761 0.798
0.000 0.271 0.800
0.000 0.500 0.500
0.500 0.000 0.500
0.000 0.000 0.000

***

Ba2AgH6Os | the Alexandria database | GGA-PBE | optimized geometry; SG = P-3m1, No. 164; energy = -4.11 eV per atom
1.0
5.508 0.000 0.000
0.000 5.647 0.000
0.000 -2.823 4.890
H Os Ba Ag
6 1 2 1
direct
0.829 0.698 0.849
0.829 0.151 0.302
0.829 0.151 0.849
0.171 0.302 0.151
0.171 0.849 0.698
0.171 0.849 0.151
0.000 0.000 0.000
0.773 0.667 0.333
0.227 0.333 0.667
0.500 0.000 0.000

***

ZrCuRuPb2 | the Alexandria database | GGA-PBE | optimized geometry; SG = P4/mmm, No. 123; E_form = 108.6 kJ per mole of atoms
1.0
-4.810 2.070 2.318
-0.519 -3.961 2.460
3.042 2.266 4.290
Pb Zr Cu Ru
2 1 1 1
direct
0.500 0.000 0.000
0.000 0.000 0.500
0.000 0.000 0.000
0.500 0.500 0.500
0.000 0.500 0.000

***

La8GePb2 | the Alexandria database | GGA-PBE | optimized geometry; SG = C2/m, No. 12; E_form = -37.3 kJ per mole of atoms
1.0
-1.160 -5.216 -1.009
5.689 -1.984 3.718
-7.086 3.106 6.746
La Pb Ge
8 2 1
direct
0.414 0.539 0.829
0.781 0.691 0.562
0.000 0.769 0.000
0.652 0.992 0.303
0.348 0.008 0.697
0.219 0.309 0.438
0.586 0.461 0.171
0.000 0.231 0.000
0.830 0.267 0.659
0.170 0.733 0.341
0.500 0.000 0.000